Entry from Alexandria: a relaxed structure of La8Pr4Nd (GGA-PBE).

Cell lengths 11.997, 11.997, 7.999 Å; angles 90.00, 138.58, 120.00 degrees
Atoms (fractional coordinates):
La1 0.840 0.167 0.008
La2 0.160 0.327 0.992
La3 0.334 0.167 0.008
La4 0.478 0.239 0.718
La5 0.840 0.673 0.008
La6 0.666 0.833 0.992
La7 0.160 0.833 0.992
La8 0.522 0.761 0.282
Pr1 0.000 0.500 0.000
Pr2 0.500 0.000 0.000
Pr3 0.500 0.500 0.000
Pr4 0.000 0.000 0.000
Nd1 0.000 0.500 0.500

Properties
- space group = R-3m (166)
- VASP energy (eV per formula unit) = -58.9
- density of states at the Fermi level (states/eV per cell) = 25.77
- crystal system = trigonal
- calculated volume (Å³/cell) = 499
- theoretical density (g cm⁻³) = 6.06

Entry from Alexandria: a relaxed structure of LaPr2Nd (GGA-PBE).

Cell lengths 5.906, 5.906, 5.906 Å; angles 60.00, 60.00, 60.00 degrees
Last column: magnetic moment on the atom in μB.
Atoms (fractional coordinates):
Pr1 0.750 0.750 0.750  0.12
Pr2 0.250 0.250 0.250  0.12
Nd1 0.000 0.000 0.000  0.12
La1 0.500 0.500 0.500  0.12

Properties
- space group = Fm-3m (225)
- VASP energy (eV per formula unit) = -18.7
- density of states at the Fermi level (states/eV per cell) = 10.44
- polymorph energy (0 for the lowest one) (kcal/mol of atoms) = 2.711
- crystal system = cubic
- calculated volume (Å³/cell) = 146
- theoretical density (g cm⁻³) = 6.44